TbCo4Ru (GGA-PBE, optimized geometry); E_form = -2 meV/atom; DOS(E_F) = 6.21 states/eV per cell; crystal system = cubic
1.0
-0.2282 0.4220 4.8803
3.3721 -2.1858 2.8104
3.3269 2.6994 2.3859
Ru Tb Co
1 1 4
Cartesian
1.6177 0.2339 2.5191
0.0000 0.0000 0.0000
2.3811 -0.7645 5.1049
2.3585 1.6771 4.8927
4.0439 0.5847 6.2974
4.1580 0.3738 3.8582